1.
GaCu3Pd6 after structural relaxation. Source: the Alexandria database, functional PBE.

Values from the calculation:
ΔH_f (0 K) (eV/atom): -0.251
Volume (Å³/atom): 14.4
Electronic total energy (eV/atom): -4.898
Magnetization (μB/f.u.): 0.00

a = 7.4718 Å, b = 4.3423 Å, c = 9.1978 Å
α = 90.00°, β = 105.77°, γ = 90.00°
Last column: nearest neighbours and their distance in Å.
Space group P2_1/m (No. 11)
Unique sites:
Ga  0.0594  0.2500  0.3886 [2 per cell]  8 Pd 2.52-2.69
Cu  0.2459  0.2500  0.0089 [2 per cell]  8 Pd 2.62-2.80
Cu  0.3571  0.7500  0.8025 [2 per cell]  8 Pd 2.56-2.69
Cu  0.4574  0.2500  0.6044 [2 per cell]  8 Pd 2.56-2.73
Pd  0.0632  0.7500  0.8956 [2 per cell]  1 Ga 2.52, 4 Cu 2.56-2.68, 3 Pd 2.68-2.71
Pd  0.1514  0.2500  0.6928 [2 per cell]  4 Cu 2.63-2.80, 3 Ga 2.67-2.69, 1 Pd 2.74
Pd  0.1557  0.7500  0.1980 [2 per cell]  8 Pd 2.68-2.75, 3 Cu 2.97
Pd  0.2405  0.7500  0.5080 [2 per cell]  4 Cu 2.61-2.73, 3 Ga 2.64-2.66, 1 Pd 2.75
Pd  0.3622  0.2500  0.3113 [2 per cell]  1 Ga 2.55, 5 Cu 2.56-2.68, 2 Pd 2.70
Pd  0.4615  0.7500  0.0971 [2 per cell]  7 Cu 2.59-2.69, 1 Pd 2.69

---

2.
GaCuPd6 after structural relaxation. Source: the Alexandria database, functional PBE.

Values from the calculation:
ΔH_f (0 K) (eV/atom): -0.246
Volume (Å³/atom): 14.9
Electronic total energy (eV/atom): -5.031
Magnetization (μB/f.u.): 0.00

a = 7.8266 Å, b = 7.8458 Å, c = 3.8851 Å
α = 90.00°, β = 90.00°, γ = 90.00°
Last column: nearest neighbours and their distance in Å.
Space group Cmmm (No. 65)
Unique sites:
Ga  0.0000  0.0000  0.0000 [2 per cell]  12 Pd 2.75-2.77
Cu  0.0000  0.5000  0.0000 [2 per cell]  12 Pd 2.76-2.77
Pd  0.0000  0.2496  0.5000 [4 per cell]  8 Pd 2.76-2.78, 2 Ga 2.76, 2 Cu 2.76
Pd  0.2490  0.0000  0.5000 [4 per cell]  2 Ga 2.75, 8 Pd 2.76-2.78, 2 Cu 2.76
Pd  0.2500  0.2500  0.0000 [4 per cell]  8 Pd 2.76, 2 Cu 2.77, 2 Ga 2.77

---

3.
Ga2CuPd2 after structural relaxation. Source: the Alexandria database, functional PBE.

Values from the calculation:
ΔH_f (0 K) (eV/atom): -0.376
Volume (Å³/atom): 15.4
Electronic total energy (eV/atom): -4.483
Magnetization (μB/f.u.): 0.00

a = 7.1853 Å, b = 7.1853 Å, c = 2.9772 Å
α = 90.00°, β = 90.00°, γ = 90.00°
Last column: nearest neighbours and their distance in Å.
Space group P4/mbm (No. 127)
Unique sites:
Ga  0.1571  0.3429  0.0000 [4 per cell]  6 Pd 2.51-2.63
Cu  0.0000  0.0000  0.5000 [2 per cell]  4 Pd 2.76, 2 Cu 2.98, 8 Ga 3.09
Pd  0.1436  0.6436  0.5000 [4 per cell]  6 Ga 2.51-2.63, 2 Cu 2.76

---

Q: Among the records above, which one has the highest volume?
A: Ga2CuPd2